Entry 1:
A plane-wave DFT calculation with PBE was carried out for a geometry-optimized Er2Tm3Tl4 structure.

Cell lengths 8.6391, 8.6391, 9.2920 Å; angles 90.00, 90.00, 131.63 degrees
Atoms (fractional coordinates):
Er (0.1105, 0.8895, 0.9366)
Er (0.3895, 0.6105, 0.4366)
Er (0.6105, 0.3895, 0.5634)
Er (0.8895, 0.1105, 0.0634)
Tm (0.0000, 0.0000, 0.5000)
Tm (0.0399, 0.4601, 0.7500)
Tm (0.4601, 0.0399, 0.2500)
Tm (0.5000, 0.5000, 0.0000)
Tm (0.5399, 0.9601, 0.7500)
Tm (0.9601, 0.5399, 0.2500)
Tl (0.1918, 0.8082, 0.5380)
Tl (0.2339, 0.2661, 0.7500)
Tl (0.2661, 0.2339, 0.2500)
Tl (0.3082, 0.6918, 0.0380)
Tl (0.6918, 0.3082, 0.9620)
Tl (0.7339, 0.7661, 0.7500)
Tl (0.7661, 0.7339, 0.2500)
Tl (0.8082, 0.1918, 0.4620)

Calculated values
The energy of formation comes out at -0.1631 eV per atom. Its crystal system is orthorhombic. As for the magnetic moment: 0.000 μB/atom.

Entry 2:
A plane-wave DFT calculation with PBE was carried out for a geometry-optimized Er2Tm2Tl3 structure.

Cell lengths 15.9435, 15.9435, 3.5316 Å; angles 90.00, 90.00, 167.49 degrees
Atoms (fractional coordinates):
Er (0.0683, 0.9317, 0.0000)
Er (0.9317, 0.0683, 0.0000)
Tm (0.2024, 0.7976, 0.0000)
Tm (0.7976, 0.2024, 0.0000)
Tl (0.3637, 0.6363, 0.5000)
Tl (0.5000, 0.5000, 0.5000)
Tl (0.6363, 0.3637, 0.5000)

Calculated values
The energy of formation comes out at -0.1834 eV per atom. The value obtained for the energy above the lowest structure with this stoichiometry is 0 meV/atom. Its crystal system is orthorhombic. As for the magnetic moment: 0.033 μB/atom.

Entry 3:
A plane-wave DFT calculation with PBE was carried out for a geometry-optimized Er3Tm3Tl2 structure.

Cell lengths 6.0688, 6.0688, 6.0688 Å; angles 89.99, 89.99, 89.99 degrees
Atoms (fractional coordinates):
Er (0.0000, 0.2509, 0.7491)
Er (0.2509, 0.7491, 0.0000)
Er (0.7491, 0.0000, 0.2509)
Tm (0.2508, 0.7492, 0.5000)
Tm (0.5000, 0.2508, 0.7492)
Tm (0.7492, 0.5000, 0.2508)
Tl (0.2494, 0.2494, 0.2494)
Tl (0.7506, 0.7506, 0.7506)

Calculated values
The energy of formation comes out at -0.1112 eV per atom. The value obtained for the energy above the lowest structure with this stoichiometry is 0 meV/atom. Its crystal system is trigonal. As for the magnetic moment: 0.000 μB/atom.

Entry 4:
A plane-wave DFT calculation with PBE was carried out for a geometry-optimized Er5TmTl3 structure.

Cell lengths 9.2853, 9.2853, 6.6645 Å; angles 90.00, 90.00, 120.00 degrees
Atoms (fractional coordinates):
Er (0.0000, 0.3328, 0.2500)
Er (0.0000, 0.6672, 0.7500)
Er (0.3328, 0.0000, 0.2500)
Er (0.3328, 0.3328, 0.7500)
Er (0.3333, 0.6667, 0.0000)
Er (0.3333, 0.6667, 0.5000)
Er (0.6672, 0.0000, 0.7500)
Er (0.6667, 0.3333, 0.0000)
Er (0.6667, 0.3333, 0.5000)
Er (0.6672, 0.6672, 0.2500)
Tm (0.0000, 0.0000, 0.0000)
Tm (0.0000, 0.0000, 0.5000)
Tl (0.0000, 0.3335, 0.7500)
Tl (0.0000, 0.6665, 0.2500)
Tl (0.3335, 0.0000, 0.7500)
Tl (0.3335, 0.3335, 0.2500)
Tl (0.6665, 0.0000, 0.2500)
Tl (0.6665, 0.6665, 0.7500)

Calculated values
The energy of formation comes out at -0.2476 eV per atom. Its crystal system is hexagonal. As for the magnetic moment: 0.031 μB/atom.

Entry 5:
A plane-wave DFT calculation with PBE was carried out for a geometry-optimized ErTm2Tl structure.

Cell lengths 3.5701, 3.5701, 9.0352 Å; angles 90.00, 90.00, 90.00 degrees
Atoms (fractional coordinates):
Er (0.0000, 0.0000, 0.0000)
Tm (0.5000, 0.5000, 0.2682)
Tm (0.5000, 0.5000, 0.7318)
Tl (0.0000, 0.0000, 0.5000)

Calculated values
The energy of formation comes out at -0.1618 eV per atom. The value obtained for the energy above the lowest structure with this stoichiometry is 0 meV/atom. Its crystal system is tetragonal. As for the magnetic moment: 0.000 μB/atom.

Entry 6:
A plane-wave DFT calculation with PBE was carried out for a geometry-optimized Er8Tm2Tl structure.

Cell lengths 6.0559, 6.0559, 12.4489 Å; angles 103.56, 103.56, 47.53 degrees
Atoms (fractional coordinates):
Er (0.0383, 0.0383, 0.3217)
Er (0.1372, 0.1372, 0.9528)
Er (0.2375, 0.2375, 0.5884)
Er (0.4086, 0.4086, 0.8627)
Er (0.5914, 0.5914, 0.1373)
Er (0.7625, 0.7625, 0.4116)
Er (0.8628, 0.8628, 0.0472)
Er (0.9617, 0.9617, 0.6783)
Tm (0.3137, 0.3137, 0.2326)
Tm (0.6863, 0.6863, 0.7674)
Tl (0.5000, 0.5000, 0.5000)

Calculated values
The energy of formation comes out at -0.0272 eV per atom. Its crystal system is monoclinic. As for the magnetic moment: 0.000 μB/atom.

Entry 7:
A plane-wave DFT calculation with PBE was carried out for a geometry-optimized Er2Tm4Tl structure.

Cell lengths 3.5153, 10.6842, 22.3458 Å; angles 89.04, 85.65, 80.57 degrees
Atoms (fractional coordinates):
Er (0.0000, 0.0921, 0.4030)
Er (0.0000, 0.9079, 0.5970)
Er (0.0980, 0.4070, 0.8973)
Er (0.3486, 0.1278, 0.6816)
Er (0.4795, 0.3584, 0.1763)
Er (0.5205, 0.6416, 0.8237)
Er (0.6514, 0.8722, 0.3184)
Er (0.9020, 0.5930, 0.1027)
Tm (0.0665, 0.1083, 0.2450)
Tm (0.1702, 0.4243, 0.7385)
Tm (0.1764, 0.6000, 0.5484)
Tm (0.2264, 0.1021, 0.9482)
Tm (0.2504, 0.8155, 0.1839)
Tm (0.4014, 0.1681, 0.5306)
Tm (0.4211, 0.3267, 0.3242)
Tm (0.4295, 0.6596, 0.9745)
Tm (0.5705, 0.3404, 0.0255)
Tm (0.5789, 0.6733, 0.6758)
Tm (0.5986, 0.8319, 0.4694)
Tm (0.7496, 0.1845, 0.8161)
Tm (0.7736, 0.8979, 0.0518)
Tm (0.8236, 0.4000, 0.4516)
Tm (0.8298, 0.5757, 0.2615)
Tm (0.9335, 0.8917, 0.7550)
Tl (0.1382, 0.1254, 0.1015)
Tl (0.2406, 0.6262, 0.3884)
Tl (0.7594, 0.3738, 0.6116)
Tl (0.8618, 0.8746, 0.8985)

Calculated values
The energy of formation comes out at -0.0601 eV per atom. The value obtained for the energy above the lowest structure with this stoichiometry is 0 meV/atom. Its crystal system is triclinic. As for the magnetic moment: 0.000 μB/atom.

Entry 8:
A plane-wave DFT calculation with PBE was carried out for a geometry-optimized Er3Tm4Tl4 structure.

Cell lengths 10.4440, 10.4440, 10.4440 Å; angles 159.83, 125.98, 58.25 degrees
Atoms (fractional coordinates):
Er (0.0000, 0.0000, 0.0000)
Er (0.4018, 0.9018, 0.5000)
Er (0.5982, 0.0982, 0.5000)
Tm (0.0299, 0.3356, 0.6942)
Tm (0.3586, 0.6644, 0.6942)
Tm (0.6414, 0.3356, 0.3058)
Tm (0.9701, 0.6644, 0.3058)
Tl (0.2637, 0.2637, 0.0000)
Tl (0.2789, 0.5000, 0.7789)
Tl (0.7211, 0.5000, 0.2211)
Tl (0.7363, 0.7363, 0.0000)

Calculated values
The energy of formation comes out at -0.1981 eV per atom. Its crystal system is orthorhombic. As for the magnetic moment: 0.114 μB/atom.

Entry 9:
A plane-wave DFT calculation with PBE was carried out for a geometry-optimized ErTm2Tl5 structure.

Cell lengths 6.5507, 6.5507, 6.5477 Å; angles 111.23, 111.23, 105.98 degrees
Atoms (fractional coordinates):
Er (0.0000, 0.0000, 0.0000)
Tm (0.4372, 0.9389, 0.5013)
Tm (0.9389, 0.4372, 0.5013)
Tl (0.4138, 0.4138, 0.9989)
Tl (0.4709, 0.4709, 0.5453)
Tl (0.4705, 0.9249, 0.0011)
Tl (0.9229, 0.9229, 0.4539)
Tl (0.9249, 0.4705, 0.0011)

Calculated values
The energy of formation comes out at -0.2167 eV per atom. Its crystal system is monoclinic. As for the magnetic moment: 0.000 μB/atom.

Entry 10:
A plane-wave DFT calculation with PBE was carried out for a geometry-optimized Er4TmTl7 structure.

Cell lengths 7.3332, 7.3332, 11.2428 Å; angles 120.70, 120.70, 45.02 degrees
Atoms (fractional coordinates):
Er (0.0832, 0.0832, 0.2834)
Er (0.2177, 0.2177, 0.8258)
Er (0.7823, 0.7823, 0.1742)
Er (0.9168, 0.9168, 0.7166)
Tm (0.5000, 0.5000, 0.5000)
Tl (0.0000, 0.0000, 0.5000)
Tl (0.1338, 0.1338, 0.0458)
Tl (0.2870, 0.2870, 0.6045)
Tl (0.4178, 0.4178, 0.1731)
Tl (0.5822, 0.5822, 0.8269)
Tl (0.7130, 0.7130, 0.3955)
Tl (0.8662, 0.8662, 0.9542)

Calculated values
The energy of formation comes out at -0.0812 eV per atom. Its crystal system is monoclinic. As for the magnetic moment: 0.000 μB/atom.

Entry 11:
A plane-wave DFT calculation with PBE was carried out for a geometry-optimized ErTmTl6 structure.

Cell lengths 4.7502, 4.7502, 9.5044 Å; angles 90.00, 90.00, 90.00 degrees
Atoms (fractional coordinates):
Er (0.0000, 0.0000, 0.0000)
Tm (0.0000, 0.0000, 0.5000)
Tl (0.0000, 0.5000, 0.2506)
Tl (0.0000, 0.5000, 0.7494)
Tl (0.5000, 0.0000, 0.2506)
Tl (0.5000, 0.0000, 0.7494)
Tl (0.5000, 0.5000, 0.0000)
Tl (0.5000, 0.5000, 0.5000)

Calculated values
The energy of formation comes out at -0.1902 eV per atom. Its crystal system is tetragonal. As for the magnetic moment: 0.000 μB/atom.

Entry 12:
A plane-wave DFT calculation with PBE was carried out for a geometry-optimized ErTm4Tl5 structure.

Cell lengths 3.7048, 3.7048, 19.3419 Å; angles 90.00, 90.00, 90.00 degrees
Atoms (fractional coordinates):
Er (0.0000, 0.0000, 0.0000)
Tm (0.0000, 0.0000, 0.2007)
Tm (0.0000, 0.0000, 0.4002)
Tm (0.0000, 0.0000, 0.5998)
Tm (0.0000, 0.0000, 0.7993)
Tl (0.5000, 0.5000, 0.1009)
Tl (0.5000, 0.5000, 0.3006)
Tl (0.5000, 0.5000, 0.5000)
Tl (0.5000, 0.5000, 0.6994)
Tl (0.5000, 0.5000, 0.8991)

Calculated values
The energy of formation comes out at -0.2966 eV per atom. Its crystal system is tetragonal. As for the magnetic moment: 0.000 μB/atom.